# PBEsol Zn3ReF, optimized geometry
# - E_tot (eV per atom) = -3.079
# - calculated volume (Å³/cell) = 116.1
# - energy relative to the elements, uncorrected (eV per atom) = 0.922
# - size of the total moment (μB/f.u.) = 2.63
data_Zn3ReF
_chemical_formula_sum 'Zn3 Re1 F1'
_space_group_name_H-M_alt 'P m -3 m'
_space_group_IT_number 221
_space_group_name_Hall '-P 4 2 3'
_cell_length_a 4.8781
_cell_length_b 4.8781
_cell_length_c 4.8781
_cell_angle_alpha 90.00
_cell_angle_beta 90.00
_cell_angle_gamma 90.00
loop_
_atom_site_label
_atom_site_type_symbol
_atom_site_fract_x
_atom_site_fract_y
_atom_site_fract_z
Zn1 Zn 0.0000 0.0000 0.5000
Re1 Re 0.0000 0.0000 0.0000
F1 F 0.5000 0.5000 0.5000